[1]
## YHfCd (GGA-PBE)

Data for a relaxed structure of YHfCd.

Lattice parameters (Å, degrees): 3.3687 3.3687 6.9638 104.00 104.00 90.00
Last column: nearest neighbours and their distance in Å.
Sites, in units of the cell vectors:
Y  0.0021  0.0021  0.0042  4 Hf 3.27, 4 Cd 3.32, 4 Y 3.37
Hf  0.6728  0.6728  0.3457  4 Cd 3.10, 4 Y 3.27, 4 Hf 3.37
Cd  0.3250  0.3250  0.6501  4 Hf 3.10, 4 Y 3.32, 4 Cd 3.37

- Formation enthalpy at 0 K: -78 meV per atom
- E: -17.6 eV/cell
- Magnetization: 0.0 μB per formula unit

[2]
## Y2HfCd (GGA-PBE)

Data for a relaxed structure of Y2HfCd.

Lattice parameters (Å, degrees): 3.4320 3.4320 9.0075 90.00 90.00 90.00
Last column: nearest neighbours and their distance in Å.
Sites, in units of the cell vectors:
Y  0.0000  0.0000  0.7524  4 Cd 3.30, 4 Hf 3.33, 4 Y 3.43
Y  0.0000  0.0000  0.2476  4 Cd 3.30, 4 Hf 3.33, 4 Y 3.43
Hf  0.5000  0.5000  0.5000  8 Y 3.33, 4 Hf 3.43
Cd  0.5000  0.5000  0.0000  8 Y 3.30, 4 Cd 3.43

- Formation enthalpy at 0 K: -97 meV per atom
- E: -24.2 eV/cell
- Magnetization: 0.0 μB per formula unit

[3]
## YHf2Cd2 (GGA-PBE)

Data for a relaxed structure of YHf2Cd2.

Lattice parameters (Å, degrees): 8.4584 8.4584 3.3485 90.00 90.00 90.00
Last column: nearest neighbours and their distance in Å.
Sites, in units of the cell vectors:
Y  0.0000  0.0000  0.0000  4 Cd 3.22, 2 Y 3.35
Y  0.5000  0.5000  0.0000  4 Cd 3.22, 2 Y 3.35
Hf  0.1485  0.6485  0.5000  6 Cd 2.92-3.04
Hf  0.6485  0.8515  0.5000  6 Cd 2.92-3.04
Hf  0.8515  0.3515  0.5000  6 Cd 2.92-3.04
Hf  0.3515  0.1485  0.5000  6 Cd 2.92-3.04
Cd  0.3489  0.8489  0.0000  6 Hf 2.92-3.04, 2 Y 3.22
Cd  0.8489  0.6511  0.0000  6 Hf 2.92-3.04, 2 Y 3.22
Cd  0.6511  0.1511  0.0000  6 Hf 2.92-3.04, 2 Y 3.22
Cd  0.1511  0.3489  0.0000  6 Hf 2.92-3.04, 2 Y 3.22

- Formation enthalpy at 0 K: 112 meV per atom
- E: -55.3 eV/cell
- Magnetization: 0.0 μB per formula unit

[4]
## Y2HfCd (GGA-PBE)

Data for a relaxed structure of Y2HfCd.

Lattice parameters (Å, degrees): 3.2746 3.2746 11.9259 82.11 82.11 60.00
Last column: nearest neighbours and their distance in Å.
Sites, in units of the cell vectors:
Y  0.0905  0.0905  0.7284  1 Hf 3.20, 6 Y 3.27, 3 Cd 3.29
Y  0.9095  0.9095  0.2716  1 Hf 3.20, 6 Y 3.27, 3 Cd 3.29
Hf  0.0000  0.0000  0.0000  2 Y 3.20, 6 Hf 3.27
Cd  0.5000  0.5000  0.5000  6 Cd 3.27, 6 Y 3.29

- Formation enthalpy at 0 K: 332 meV per atom
- E: -22.5 eV/cell
- Magnetization: 0.0 μB per formula unit

[5]
## Y2HfCd (GGA-PBE)

Data for a relaxed structure of Y2HfCd.

Lattice parameters (Å, degrees): 4.4884 4.4884 11.3954 78.64 78.64 90.00
Last column: nearest neighbours and their distance in Å.
Sites, in units of the cell vectors:
Y  0.6214  0.1250  0.2500  4 Y 3.15-3.20, 2 Cd 3.16, 2 Hf 3.17
Y  0.1286  0.6250  0.2500  4 Y 3.15-3.20, 2 Cd 3.16, 2 Hf 3.17
Y  0.3750  0.3786  0.7500  4 Y 3.15-3.20, 2 Cd 3.16, 2 Hf 3.17
Y  0.8750  0.8714  0.7500  4 Y 3.15-3.20, 2 Cd 3.16, 2 Hf 3.17
Hf  0.0000  0.0000  0.0000  4 Y 3.17, 4 Cd 3.17
Hf  0.7500  0.2500  0.5000  4 Y 3.17, 4 Cd 3.17
Cd  0.5000  0.5000  0.0000  4 Y 3.16, 4 Hf 3.17
Cd  0.2500  0.7500  0.5000  4 Y 3.16, 4 Hf 3.17

- Formation enthalpy at 0 K: 464 meV per atom
- E: -43.9 eV/cell
- Magnetization: 0.0 μB per formula unit

[6]
## YHfCd4 (GGA-PBE)

Data for a relaxed structure of YHfCd4.

Lattice parameters (Å, degrees): 5.7792 5.7792 5.7792 60.00 60.00 60.00
Last column: nearest neighbours and their distance in Å.
Sites, in units of the cell vectors:
Y  0.2500  0.2500  0.2500  12 Cd 3.39, 4 Hf 3.54
Hf  0.0000  0.0000  0.0000  12 Cd 3.39, 4 Y 3.54
Cd  0.6253  0.6253  0.1240  6 Cd 2.88-2.90
Cd  0.6253  0.1240  0.6253  6 Cd 2.88-2.90
Cd  0.6253  0.6253  0.6253  6 Cd 2.88-2.90
Cd  0.1240  0.6253  0.6253  6 Cd 2.88-2.90

- Formation enthalpy at 0 K: -45 meV per atom
- E: -20.3 eV/cell
- Magnetization: 1.9 μB per formula unit

[7]
## YHf2Cd2 (GGA-PBE)

Data for a relaxed structure of YHf2Cd2.

Lattice parameters (Å, degrees): 8.7336 8.7336 3.1140 90.00 90.00 90.00
Last column: nearest neighbours and their distance in Å.
Sites, in units of the cell vectors:
Y  0.0000  0.0000  0.0000  2 Y 3.11, 4 Hf 3.48
Y  0.5000  0.5000  0.0000  2 Y 3.11, 4 Hf 3.48
Hf  0.3808  0.8808  0.0000  3 Hf 2.94-3.11, 6 Cd 2.96-3.06
Hf  0.8808  0.6192  0.0000  3 Hf 2.94-3.11, 6 Cd 2.96-3.06
Hf  0.6192  0.1192  0.0000  3 Hf 2.94-3.11, 6 Cd 2.96-3.06
Hf  0.1192  0.3808  0.0000  3 Hf 2.94-3.11, 6 Cd 2.96-3.06
Cd  0.1772  0.6772  0.5000  6 Hf 2.96-3.06, 2 Cd 3.11
Cd  0.6772  0.8228  0.5000  6 Hf 2.96-3.06, 2 Cd 3.11
Cd  0.8228  0.3228  0.5000  6 Hf 2.96-3.06, 2 Cd 3.11
Cd  0.3228  0.1772  0.5000  6 Hf 2.96-3.06, 2 Cd 3.11

- Formation enthalpy at 0 K: 135 meV per atom
- E: -55.1 eV/cell
- Magnetization: 0.5 μB per formula unit

[8]
## YHfZnCd (GGA-PBE)

Data for a relaxed structure of YHfZnCd.

Lattice parameters (Å, degrees): 4.9978 4.9978 4.9978 60.00 60.00 60.00
Last column: nearest neighbours and their distance in Å.
Sites, in units of the cell vectors:
Y  0.7500  0.7500  0.7500  4 Cd 3.06, 4 Zn 3.06
Zn  0.5000  0.5000  0.5000  4 Y 3.06, 4 Hf 3.06
Hf  0.2500  0.2500  0.2500  4 Zn 3.06, 4 Cd 3.06
Cd  0.0000  0.0000  0.0000  4 Hf 3.06, 4 Y 3.06

- Formation enthalpy at 0 K: -100 meV per atom
- E: -19.0 eV/cell
- Magnetization: 0.5 μB per formula unit

[9]
## Hf2ZnCd (GGA-PBE)

Data for a relaxed structure of Hf2ZnCd.

Lattice parameters (Å, degrees): 7.7263 7.7263 6.1565 51.13 51.13 90.00
Last column: nearest neighbours and their distance in Å.
Sites, in units of the cell vectors:
Zn  0.5000  0.5000  0.0000  4 Hf 2.72, 2 Cd 2.84
Zn  0.2500  0.7500  0.5000  4 Hf 2.72, 2 Cd 2.84
Hf  0.6053  0.1250  0.2500  2 Zn 2.72, 2 Hf 2.85, 2 Cd 2.93
Hf  0.1447  0.6250  0.2500  2 Zn 2.72, 2 Hf 2.85, 2 Cd 2.93
Hf  0.3750  0.3947  0.7500  2 Zn 2.72, 2 Hf 2.85, 2 Cd 2.93
Hf  0.8750  0.8553  0.7500  2 Zn 2.72, 2 Hf 2.85, 2 Cd 2.93
Cd  0.0000  0.0000  0.0000  2 Zn 2.84, 4 Hf 2.93
Cd  0.7500  0.2500  0.5000  2 Zn 2.84, 4 Hf 2.93

- Formation enthalpy at 0 K: 359 meV per atom
- E: -41.3 eV/cell
- Magnetization: 0.0 μB per formula unit

[10]
## Hf2ZnCd (GGA-PBE)

Data for a relaxed structure of Hf2ZnCd.

Lattice parameters (Å, degrees): 3.1682 5.0593 5.7981 115.87 105.86 90.00
Last column: nearest neighbours and their distance in Å.
Sites, in units of the cell vectors:
Hf  0.9881  0.9881  0.9763  2 Zn 2.89, 4 Cd 3.00, 4 Hf 3.02-3.17
Hf  0.7470  0.2470  0.4941  4 Zn 2.98, 4 Hf 3.02-3.17, 2 Cd 3.15
Zn  0.2444  0.7444  0.4889  2 Cd 2.73, 6 Hf 2.89-2.98
Cd  0.5204  0.5204  0.0408  2 Zn 2.73, 4 Hf 3.00

- Formation enthalpy at 0 K: -33 meV per atom
- E: -22.2 eV/cell
- Magnetization: 0.0 μB per formula unit

[11]
## HfZnCd (GGA-PBE)

Data for a relaxed structure of HfZnCd.

Lattice parameters (Å, degrees): 6.1804 6.1804 7.9604 105.61 105.61 107.86
Last column: nearest neighbours and their distance in Å.
Sites, in units of the cell vectors:
Hf  0.1746  0.1746  0.3492  4 Zn 2.76-2.78, 2 Cd 3.08
Hf  0.8254  0.8254  0.6508  4 Zn 2.76-2.78, 2 Cd 3.08
Hf  0.0754  0.5754  0.1508  4 Zn 2.76-2.78, 2 Cd 3.08
Hf  0.4246  0.9246  0.8492  4 Zn 2.76-2.78, 2 Cd 3.08
Cd  0.6250  0.8750  0.2500  2 Zn 2.63
Cd  0.6250  0.3750  0.7500  2 Zn 2.63
Cd  0.6250  0.3750  0.2500  2 Zn 2.63
Cd  0.1250  0.3750  0.7500  2 Zn 2.63
Zn  0.4196  0.9196  0.5000  1 Zn 2.47, 2 Cd 2.63, 2 Hf 2.76
Zn  0.1696  0.1696  0.0000  1 Zn 2.47, 2 Cd 2.63, 2 Hf 2.76
Zn  0.0804  0.5804  0.5000  1 Zn 2.47, 2 Cd 2.63, 2 Hf 2.76
Zn  0.8304  0.8304  0.0000  1 Zn 2.47, 2 Cd 2.63, 2 Hf 2.76

- Formation enthalpy at 0 K: 266 meV per atom
- E: -45.4 eV/cell
- Magnetization: 0.0 μB per formula unit

[12]
## Hf2ZnCd (GGA-PBE)

Data for a relaxed structure of Hf2ZnCd.

Lattice parameters (Å, degrees): 3.1426 3.1426 9.8041 80.78 80.78 60.00
Last column: nearest neighbours and their distance in Å.
Sites, in units of the cell vectors:
Zn  0.0000  0.0000  0.0000  6 Hf 2.87, 6 Zn 3.14
Hf  0.2566  0.2566  0.2303  3 Zn 2.87, 6 Hf 3.14, 3 Cd 3.17
Hf  0.7434  0.7434  0.7697  3 Zn 2.87, 6 Hf 3.14, 3 Cd 3.17
Cd  0.5000  0.5000  0.5000  6 Cd 3.14, 6 Hf 3.17

- Formation enthalpy at 0 K: 27 meV per atom
- E: -22.0 eV/cell
- Magnetization: 0.0 μB per formula unit

> Which formula does entry 3 have?

YHf2Cd2

> What is the formula in the eighth record?

YHfZnCd

> What is the formula in the sixth record?

YHfCd4

> magnetization of number 9 (Hf2ZnCd)?

0.0 μB per formula unit